The following is a PBEsol calculation of crystalline MnAl2Zn at its relaxed geometry, from Alexandria via LeMat-Bulk.

a b c (Å): 3.257 3.257 5.272
angles (deg): 90.00 90.00 90.00
Fractional positions:
Zn: 0.500 0.500 0.746
Al: 0.500 0.500 0.273
Al: 0.000 0.000 0.990
Mn: 0.000 0.000 0.491

The total energy comes out at -4.889 eV per atom. The value obtained for the density is 5.2 g cm⁻³.